Al2Ag2Au7 | PBE | optimized geometry

Structure (POSCAR):
```
Al2Ag2Au7
1.0
3.965 0.000 -1.210
-1.075 6.143 -3.523
0.209 0.326 7.786
Al Ag Au
2 2 7
direct
0.305 0.927 0.610
0.695 0.317 0.390
0.000 0.620 0.000
0.500 0.322 0.000
0.151 0.063 0.303
0.156 0.493 0.312
0.500 0.928 0.000
0.344 0.465 0.688
0.656 0.777 0.312
0.849 0.760 0.697
0.844 0.181 0.688
```

Output
Space group = Imm2
V = 17.84 Å³ per atom
ΔE_f = -169 meV per atom
Polymorph energy (0 for the lowest one) = 0.00 eV/f.u.

PuCoH6 | PBE | optimized geometry

Structure (POSCAR):
```
PuCoH6
1.0
-1.179 0.592 4.109
0.765 -3.075 2.930
3.066 0.644 3.054
Pu Co H
1 1 6
direct
0.500 0.500 0.500
0.000 0.000 0.000
0.902 0.902 0.772
0.424 0.902 0.772
0.098 0.576 0.228
0.576 0.098 0.228
0.098 0.098 0.228
0.902 0.424 0.772
```

Output
Space group = R-3m
V = 7.25 Å³ per atom
E_tot = -43.36 eV/cell

AcPr2Au | PBE | optimized geometry

Structure (POSCAR):
```
AcPr2Au
1.0
-2.012 -1.895 -2.645
4.508 0.177 -3.556
1.884 -4.987 2.140
Pr Ac Au
2 1 1
direct
0.000 0.000 0.500
0.000 0.500 0.000
0.500 0.500 0.500
0.500 0.000 0.000
```

Output
Space group = P4/mmm
V = 31.56 Å³ per atom
ΔE_f = -133 meV per atom
Polymorph energy (0 for the lowest one) = 1.01 eV/f.u.

CaMg5Cd6 | PBE | optimized geometry

Structure (POSCAR):
```
CaMg5Cd6
1.0
4.863 0.000 0.014
2.432 7.223 0.007
-0.022 0.000 7.758
Ca Mg Cd
1 5 6
direct
0.000 0.000 0.000
0.666 0.668 0.500
0.330 0.341 0.000
0.000 0.000 0.500
0.670 0.659 0.000
0.334 0.332 0.500
0.830 0.341 0.259
0.830 0.341 0.741
0.500 0.000 0.735
0.500 0.000 0.265
0.170 0.659 0.259
0.170 0.659 0.741
```

Output
Space group = Cmmm
V = 22.71 Å³ per atom
ΔE_f = -146 meV per atom

TbPmBi | PBE | optimized geometry

Structure (POSCAR):
```
TbPmBi
1.0
-2.753 -0.936 2.874
-3.546 -1.017 -3.727
3.131 -3.824 1.753
Tb Bi Pm
1 1 1
direct
0.571 0.333 0.667
0.387 0.667 0.333
0.042 0.000 0.000
```

Output
Space group = P3m1
V = 32.45 Å³ per atom
ΔE_f = -289 meV per atom
Polymorph energy (0 for the lowest one) = 1.05 eV/f.u.

NdYThTl | PBE | optimized geometry

Structure (POSCAR):
```
NdYThTl
1.0
5.545 0.000 0.000
2.773 4.802 0.000
2.773 1.601 4.528
Y Tl Nd Th
1 1 1 1
direct
0.000 0.000 0.000
0.750 0.750 0.750
0.500 0.500 0.500
0.250 0.250 0.250
```

Output
Space group = F-43m
V = 30.14 Å³ per atom
ΔE_f = 44 meV per atom

> What is the formula in the fourth record?

CaMg5Cd6

> Number 2 is which compound?

PuCoH6

> Number 5 is which compound?

TbPmBi

Copy entry 2 word for word.
PuCoH6 | PBE | optimized geometry

Structure (POSCAR):
```
PuCoH6
1.0
-1.179 0.592 4.109
0.765 -3.075 2.930
3.066 0.644 3.054
Pu Co H
1 1 6
direct
0.500 0.500 0.500
0.000 0.000 0.000
0.902 0.902 0.772
0.424 0.902 0.772
0.098 0.576 0.228
0.576 0.098 0.228
0.098 0.098 0.228
0.902 0.424 0.772
```

Output
Space group = R-3m
V = 7.25 Å³ per atom
E_tot = -43.36 eV/cell